# 1
VASP calculation (PBE) on crystalline RbAg3Pd at its relaxed geometry.

Results
As for the offset from the most stable computed form: 224 meV per atom.

Unit cell a=5.257 b=5.257 c=5.257 alpha=90.00 beta=90.00 gamma=90.00
Sites, in units of the cell vectors:
Rb 0.000 0.000 0.000
Ag 0.000 0.500 0.500
Ag 0.500 0.000 0.500
Ag 0.500 0.500 0.000
Pd 0.500 0.500 0.500

***

# 2
VASP calculation (PBE) on crystalline RbAgPd at its relaxed geometry.

Results
As for the offset from the most stable computed form: 0 meV per atom.

Unit cell a=5.893 b=5.901 c=8.224 alpha=90.00 beta=90.00 gamma=90.00
Sites, in units of the cell vectors:
Rb 0.000 0.250 0.121
Rb 0.000 0.750 0.879
Rb 0.500 0.250 0.379
Rb 0.500 0.750 0.621
Ag 0.000 0.000 0.500
Ag 0.000 0.500 0.500
Ag 0.500 0.000 0.000
Ag 0.500 0.500 0.000
Pd 0.250 0.250 0.750
Pd 0.250 0.750 0.250
Pd 0.750 0.250 0.750
Pd 0.750 0.750 0.250

***

# 3
VASP calculation (PBE) on crystalline RbAgPd at its relaxed geometry.

Results
As for the offset from the most stable computed form: 98 meV per atom.

Unit cell a=12.132 b=4.441 c=3.198 alpha=90.00 beta=105.28 gamma=90.00
Sites, in units of the cell vectors:
Rb 0.000 0.000 0.000
Rb 0.500 0.500 0.000
Ag 0.235 0.500 0.240
Ag 0.735 0.000 0.240
Pd 0.263 0.000 0.768
Pd 0.763 0.500 0.768

***

# 4
VASP calculation (PBE) on crystalline RbAgPd2 at its relaxed geometry.

Results
As for the offset from the most stable computed form: 0 meV per atom.

Unit cell a=4.962 b=4.962 c=18.983 alpha=90.00 beta=90.00 gamma=90.00
Sites, in units of the cell vectors:
Rb 0.000 0.000 0.000
Rb 0.000 0.500 0.250
Rb 0.500 0.000 0.750
Rb 0.500 0.500 0.500
Ag 0.000 0.000 0.500
Ag 0.000 0.500 0.750
Ag 0.500 0.000 0.250
Ag 0.500 0.500 0.000
Pd 0.081 0.250 0.625
Pd 0.250 0.581 0.875
Pd 0.250 0.919 0.375
Pd 0.419 0.250 0.125
Pd 0.581 0.750 0.125
Pd 0.750 0.081 0.375
Pd 0.750 0.419 0.875
Pd 0.919 0.750 0.625

***

# 5
VASP calculation (PBE) on crystalline Rb2AgPd3 at its relaxed geometry.

Unit cell a=5.838 b=5.838 c=5.838 alpha=58.98 beta=58.98 gamma=58.98
Sites, in units of the cell vectors:
Rb 0.124 0.124 0.124
Rb 0.876 0.876 0.876
Ag 0.500 0.500 0.500
Pd 0.000 0.500 0.500
Pd 0.500 0.000 0.500
Pd 0.500 0.500 0.000

***

# 6
VASP calculation (PBE) on crystalline RbAgPd at its relaxed geometry.

Results
As for the offset from the most stable computed form: 129 meV per atom.

Unit cell a=3.758 b=3.758 c=11.889 alpha=90.00 beta=90.00 gamma=90.00
Sites, in units of the cell vectors:
Rb 0.000 0.000 0.000
Rb 0.500 0.500 0.500
Ag 0.000 0.000 0.724
Ag 0.500 0.500 0.224
Pd 0.000 0.000 0.278
Pd 0.500 0.500 0.778

***

| no. | electronic total energy (eV per atom) | theoretical density (Mg/m³) |
| --- | --- | --- |
| 1 | -2.6598 | 5.89 |
| 2 | -3.0039 | 6.96 |
| 3 | -2.9064 | 5.99 |
| 4 | -3.2138 | 5.77 |
| 5 | -3.3685 | 7.23 |
| 6 | -2.8747 | 5.93 |